Entry 1:
BaZr2As | PBE-GGA | relaxed

Cell lengths 5.087, 5.087, 7.405 Å; angles 106.80, 106.80, 41.78 degrees
Element x y z (fractional)
Ba: 0.000 0.000 0.000
Zr: 0.589 0.589 0.565
Zr: 0.826 0.826 0.358
As: 0.315 0.315 0.632

Computed properties:
- density of states at the Fermi level (states/eV per cell) = 4.88
- crystal system = monoclinic
- DFT total energy (eV per atom) = -6.0904
- M_tot (Bohr magnetons per cell) = 0.00

***

Entry 2:
BaZr2As | PBE-GGA | relaxed

Cell lengths 6.328, 6.328, 6.328 Å; angles 147.25, 125.71, 64.87 degrees
Element x y z (fractional)
Ba: 0.000 0.000 0.000
Zr: 0.312 0.812 0.500
Zr: 0.688 0.188 0.500
As: 0.500 0.500 0.000

Computed properties:
- density of states at the Fermi level (states/eV per cell) = 4.75
- crystal system = orthorhombic
- DFT total energy (eV per atom) = -6.0755
- M_tot (Bohr magnetons per cell) = 0.00

***

Entry 3:
BaZrAs | PBE-GGA | relaxed

Cell lengths 6.838, 6.838, 6.838 Å; angles 147.80, 147.80, 46.19 degrees
Element x y z (fractional)
Ba: 0.000 0.000 0.000
Zr: 0.276 0.276 0.000
As: 0.731 0.731 0.000

Computed properties:
- density of states at the Fermi level (states/eV per cell) = 4.29
- energy relative to the lowest polymorph listed for this composition (meV/atom) = 361
- crystal system = tetragonal
- DFT total energy (eV per atom) = -5.5339
- M_tot (Bohr magnetons per cell) = 0.00

***

Entry 4:
BaZrAs | PBE-GGA | relaxed

Cell lengths 4.318, 4.318, 10.601 Å; angles 90.00, 90.00, 90.00 degrees
Element x y z (fractional)
Ba: 0.250 0.250 0.192
Ba: 0.750 0.750 0.808
Zr: 0.250 0.750 0.500
Zr: 0.750 0.250 0.500
As: 0.250 0.250 0.673
As: 0.750 0.750 0.327

Computed properties:
- density of states at the Fermi level (states/eV per cell) = 3.14
- energy relative to the lowest polymorph listed for this composition (meV/atom) = 0
- crystal system = tetragonal
- DFT total energy (eV per atom) = -5.8952
- M_tot (Bohr magnetons per cell) = 0.00

***

Entry 5:
BaZrAs | PBE-GGA | relaxed

Cell lengths 4.675, 4.675, 5.060 Å; angles 90.00, 90.00, 120.00 degrees
Element x y z (fractional)
Ba: 0.000 0.000 0.000
Zr: 0.667 0.333 0.500
As: 0.333 0.667 0.500

Computed properties:
- density of states at the Fermi level (states/eV per cell) = 4.27
- energy relative to the lowest polymorph listed for this composition (meV/atom) = 465
- crystal system = hexagonal
- DFT total energy (eV per atom) = -5.4300
- M_tot (Bohr magnetons per cell) = 1.53

***

Entry 6:
BaZr2As | PBE-GGA | relaxed

Cell lengths 10.634, 10.634, 10.634 Å; angles 151.97, 151.97, 40.05 degrees
Element x y z (fractional)
Ba: 0.375 0.625 0.750
Ba: 0.625 0.375 0.250
Zr: 0.000 0.000 0.000
Zr: 0.000 0.000 0.500
Zr: 0.000 0.500 0.000
Zr: 0.500 0.000 0.500
As: 0.125 0.875 0.250
As: 0.875 0.125 0.750

Computed properties:
- density of states at the Fermi level (states/eV per cell) = 7.51
- crystal system = tetragonal
- DFT total energy (eV per atom) = -5.8527
- M_tot (Bohr magnetons per cell) = 0.00

***

Entry 7:
BaZr2As | PBE-GGA | relaxed

Cell lengths 4.653, 4.653, 4.466 Å; angles 90.00, 90.00, 90.00 degrees
Element x y z (fractional)
Ba: 0.000 0.000 0.000
Zr: 0.000 0.500 0.500
Zr: 0.500 0.000 0.500
As: 0.500 0.500 0.000

Computed properties:
- density of states at the Fermi level (states/eV per cell) = 3.73
- crystal system = tetragonal
- DFT total energy (eV per atom) = -5.7812
- M_tot (Bohr magnetons per cell) = 0.00

***

Entry 8:
BaZr2As | PBE-GGA | relaxed

Cell lengths 3.635, 3.635, 8.454 Å; angles 90.00, 90.00, 90.00 degrees
Element x y z (fractional)
Ba: 0.000 0.000 0.000
Zr: 0.000 0.000 0.573
Zr: 0.500 0.500 0.358
As: 0.500 0.500 0.705

Computed properties:
- density of states at the Fermi level (states/eV per cell) = 2.98
- crystal system = tetragonal
- DFT total energy (eV per atom) = -6.2861
- M_tot (Bohr magnetons per cell) = 0.00

***

Entry 9:
Be2As | PBE-GGA | relaxed

Cell lengths 3.525, 3.525, 7.294 Å; angles 90.00, 90.00, 120.00 degrees
Element x y z (fractional)
Be: 0.333 0.667 0.099
Be: 0.333 0.667 0.401
Be: 0.667 0.333 0.599
Be: 0.667 0.333 0.901
As: 0.000 0.000 0.250
As: 0.000 0.000 0.750

Computed properties:
- density of states at the Fermi level (states/eV per cell) = 2.29
- energy relative to the lowest polymorph listed for this composition (meV/atom) = 211
- crystal system = hexagonal
- DFT total energy (eV per atom) = -3.7165
- M_tot (Bohr magnetons per cell) = 0.00

***

Entry 10:
Be3As2 | PBE-GGA | relaxed

Cell lengths 3.642, 3.642, 6.008 Å; angles 90.00, 90.00, 120.00 degrees
Element x y z (fractional)
Be: 0.000 0.000 0.000
Be: 0.333 0.667 0.389
Be: 0.667 0.333 0.611
As: 0.333 0.667 0.768
As: 0.667 0.333 0.232

Computed properties:
- density of states at the Fermi level (states/eV per cell) = 0.68
- energy relative to the lowest polymorph listed for this composition (meV/atom) = 0
- crystal system = trigonal
- DFT total energy (eV per atom) = -4.0469
- M_tot (Bohr magnetons per cell) = 0.00

***

Entry 11:
BeAs | PBE-GGA | relaxed

Cell lengths 9.970, 9.970, 3.736 Å; angles 90.00, 90.00, 90.00 degrees
Element x y z (fractional)
Be: 0.072 0.593 0.000
Be: 0.262 0.372 0.500
Be: 0.372 0.738 0.500
Be: 0.407 0.072 0.000
Be: 0.593 0.928 0.000
Be: 0.628 0.262 0.500
Be: 0.738 0.628 0.500
Be: 0.928 0.407 0.000
As: 0.145 0.364 0.000
As: 0.194 0.605 0.500
As: 0.364 0.855 0.000
As: 0.395 0.194 0.500
As: 0.605 0.806 0.500
As: 0.636 0.145 0.000
As: 0.806 0.395 0.500
As: 0.855 0.636 0.000

Computed properties:
- density of states at the Fermi level (states/eV per cell) = 2.73
- energy relative to the lowest polymorph listed for this composition (meV/atom) = 155
- crystal system = tetragonal
- DFT total energy (eV per atom) = -4.0303
- M_tot (Bohr magnetons per cell) = 0.00

***

Entry 12:
Be4As5 | PBE-GGA | relaxed

Cell lengths 6.814, 6.814, 6.883 Å; angles 90.00, 90.00, 120.00 degrees
Element x y z (fractional)
Be: 0.000 0.000 0.000
Be: 0.000 0.000 0.500
Be: 0.000 0.420 0.250
Be: 0.000 0.580 0.750
Be: 0.420 0.000 0.250
Be: 0.420 0.420 0.750
Be: 0.580 0.000 0.750
Be: 0.580 0.580 0.250
As: 0.000 0.244 0.750
As: 0.000 0.756 0.250
As: 0.244 0.000 0.750
As: 0.244 0.244 0.250
As: 0.333 0.667 0.000
As: 0.333 0.667 0.500
As: 0.667 0.333 0.000
As: 0.667 0.333 0.500
As: 0.756 0.000 0.250
As: 0.756 0.756 0.750

Computed properties:
- density of states at the Fermi level (states/eV per cell) = 7.41
- energy relative to the lowest polymorph listed for this composition (meV/atom) = 0
- crystal system = hexagonal
- DFT total energy (eV per atom) = -3.7978
- M_tot (Bohr magnetons per cell) = 0.00

***

Entry 13:
Be2As | PBE-GGA | relaxed

Cell lengths 3.828, 3.828, 3.828 Å; angles 122.06, 105.17, 101.98 degrees
Element x y z (fractional)
Be: 0.219 0.219 0.000
Be: 0.781 0.781 0.000
As: 0.500 0.000 0.500

Computed properties:
- density of states at the Fermi level (states/eV per cell) = 0.35
- energy relative to the lowest polymorph listed for this composition (meV/atom) = 170
- crystal system = orthorhombic
- DFT total energy (eV per atom) = -3.7569
- M_tot (Bohr magnetons per cell) = 0.00

***

Entry 14:
BeAs | PBE-GGA | relaxed

Cell lengths 6.145, 6.145, 6.145 Å; angles 36.33, 36.33, 36.33 degrees
Element x y z (fractional)
Be: 0.085 0.085 0.085
Be: 0.915 0.915 0.915
As: 0.425 0.425 0.425
As: 0.575 0.575 0.575

Computed properties:
- density of states at the Fermi level (states/eV per cell) = 0.90
- energy relative to the lowest polymorph listed for this composition (meV/atom) = 60
- crystal system = trigonal
- DFT total energy (eV per atom) = -4.1248
- M_tot (Bohr magnetons per cell) = 0.00

***

Entry 15:
BeAs | PBE-GGA | relaxed

Cell lengths 3.666, 3.666, 3.666 Å; angles 60.00, 60.00, 60.00 degrees
Element x y z (fractional)
Be: 0.000 0.000 0.000
As: 0.750 0.750 0.750

Computed properties:
- density of states at the Fermi level (states/eV per cell) = 1.97
- energy relative to the lowest polymorph listed for this composition (meV/atom) = 129
- crystal system = cubic
- DFT total energy (eV per atom) = -4.0560
- M_tot (Bohr magnetons per cell) = 0.00

***

Entry 16:
Be3As | PBE-GGA | relaxed

Cell lengths 5.463, 6.982, 4.806 Å; angles 90.00, 90.00, 90.00 degrees
Element x y z (fractional)
Be: 0.142 0.036 0.153
Be: 0.142 0.464 0.153
Be: 0.164 0.750 0.948
Be: 0.336 0.250 0.448
Be: 0.358 0.536 0.653
Be: 0.358 0.964 0.653
Be: 0.642 0.036 0.347
Be: 0.642 0.464 0.347
Be: 0.664 0.750 0.552
Be: 0.836 0.250 0.052
Be: 0.858 0.536 0.847
Be: 0.858 0.964 0.847
As: 0.071 0.750 0.453
As: 0.429 0.250 0.953
As: 0.571 0.750 0.047
As: 0.929 0.250 0.547

Computed properties:
- density of states at the Fermi level (states/eV per cell) = 4.50
- energy relative to the lowest polymorph listed for this composition (meV/atom) = 0
- crystal system = orthorhombic
- DFT total energy (eV per atom) = -3.6738
- M_tot (Bohr magnetons per cell) = 0.00

***

Entry 17:
BeAs | PBE-GGA | relaxed

Cell lengths 6.025, 6.025, 6.025 Å; angles 109.47, 109.47, 109.47 degrees
Element x y z (fractional)
Be: 0.000 0.000 0.723
Be: 0.000 0.723 0.000
Be: 0.277 0.277 0.277
Be: 0.723 0.000 0.000
As: 0.000 0.000 0.364
As: 0.000 0.364 0.000
As: 0.364 0.000 0.000
As: 0.636 0.636 0.636

Computed properties:
- density of states at the Fermi level (states/eV per cell) = 3.17
- energy relative to the lowest polymorph listed for this composition (meV/atom) = 250
- crystal system = cubic
- DFT total energy (eV per atom) = -3.9349
- M_tot (Bohr magnetons per cell) = 0.00

***

Entry 18:
Be2As | PBE-GGA | relaxed

Cell lengths 6.358, 6.358, 5.319 Å; angles 102.99, 102.99, 23.83 degrees
Element x y z (fractional)
Be: 0.190 0.190 0.052
Be: 0.208 0.208 0.638
Be: 0.792 0.792 0.362
Be: 0.810 0.810 0.948
As: 0.412 0.412 0.695
As: 0.588 0.588 0.305

Computed properties:
- density of states at the Fermi level (states/eV per cell) = 0.99
- energy relative to the lowest polymorph listed for this composition (meV/atom) = 179
- crystal system = monoclinic
- DFT total energy (eV per atom) = -3.7478
- M_tot (Bohr magnetons per cell) = 0.00

***

Entry 19:
Be2As | PBE-GGA | relaxed

Cell lengths 3.558, 3.558, 3.697 Å; angles 90.00, 90.00, 120.00 degrees
Element x y z (fractional)
Be: 0.333 0.667 0.288
Be: 0.667 0.333 0.712
As: 0.000 0.000 0.000

Computed properties:
- density of states at the Fermi level (states/eV per cell) = 0.72
- energy relative to the lowest polymorph listed for this composition (meV/atom) = 341
- crystal system = trigonal
- DFT total energy (eV per atom) = -3.5860
- M_tot (Bohr magnetons per cell) = 0.00

***

Entry 20:
BeAs7 | PBE-GGA | relaxed

Cell lengths 5.935, 5.935, 5.935 Å; angles 60.00, 60.00, 60.00 degrees
Element x y z (fractional)
Be: 0.000 0.000 0.000
As: 0.000 0.000 0.500
As: 0.000 0.500 0.000
As: 0.000 0.500 0.500
As: 0.500 0.000 0.000
As: 0.500 0.000 0.500
As: 0.500 0.500 0.000
As: 0.500 0.500 0.500

Computed properties:
- density of states at the Fermi level (states/eV per cell) = 4.40
- crystal system = cubic
- DFT total energy (eV per atom) = -3.9285
- M_tot (Bohr magnetons per cell) = 0.00

***

Entry 21:
BeAs3 | PBE-GGA | relaxed

Cell lengths 2.907, 2.907, 8.143 Å; angles 90.00, 90.00, 90.00 degrees
Element x y z (fractional)
Be: 0.000 0.000 0.000
As: 0.000 0.000 0.500
As: 0.500 0.500 0.180
As: 0.500 0.500 0.820

Computed properties:
- density of states at the Fermi level (states/eV per cell) = 1.32
- energy relative to the lowest polymorph listed for this composition (meV/atom) = 237
- crystal system = tetragonal
- DFT total energy (eV per atom) = -4.0031
- M_tot (Bohr magnetons per cell) = 0.00

***

Entry 22:
Be2As | PBE-GGA | relaxed

Cell lengths 3.904, 3.904, 6.436 Å; angles 96.43, 96.43, 54.45 degrees
Element x y z (fractional)
Be: 0.000 0.000 0.000
Be: 0.315 0.315 0.950
Be: 0.429 0.429 0.573
Be: 0.549 0.549 0.219
As: 0.729 0.729 0.753
As: 0.871 0.871 0.333

Computed properties:
- density of states at the Fermi level (states/eV per cell) = 1.54
- energy relative to the lowest polymorph listed for this composition (meV/atom) = 86
- crystal system = monoclinic
- DFT total energy (eV per atom) = -3.8409
- M_tot (Bohr magnetons per cell) = 0.00

***

Entry 23:
Be2As | PBE-GGA | relaxed

Cell lengths 3.409, 3.409, 3.349 Å; angles 90.00, 90.00, 90.00 degrees
Element x y z (fractional)
Be: 0.000 0.500 0.000
Be: 0.500 0.000 0.000
As: 0.000 0.000 0.500

Computed properties:
- density of states at the Fermi level (states/eV per cell) = 1.14
- energy relative to the lowest polymorph listed for this composition (meV/atom) = 175
- crystal system = tetragonal
- DFT total energy (eV per atom) = -3.7524
- M_tot (Bohr magnetons per cell) = 0.00

***

Entry 24:
Be3As | PBE-GGA | relaxed

Cell lengths 2.637, 3.424, 4.973 Å; angles 90.00, 90.00, 90.00 degrees
Element x y z (fractional)
Be: 0.000 0.000 0.000
Be: 0.500 0.500 0.209
Be: 0.500 0.500 0.791
As: 0.000 0.000 0.500

Computed properties:
- density of states at the Fermi level (states/eV per cell) = 1.11
- energy relative to the lowest polymorph listed for this composition (meV/atom) = 135
- crystal system = orthorhombic
- DFT total energy (eV per atom) = -3.5388
- M_tot (Bohr magnetons per cell) = 0.00

***

Entry 25:
Be2As | PBE-GGA | relaxed

Cell lengths 3.928, 3.928, 2.772 Å; angles 102.12, 102.12, 75.20 degrees
Element x y z (fractional)
Be: 0.135 0.135 0.345
Be: 0.865 0.865 0.655
As: 0.500 0.500 0.500

Computed properties:
- density of states at the Fermi level (states/eV per cell) = 0.61
- energy relative to the lowest polymorph listed for this composition (meV/atom) = 296
- crystal system = monoclinic
- DFT total energy (eV per atom) = -3.6311
- M_tot (Bohr magnetons per cell) = 0.00

***

Entry 26:
BeAs3 | PBE-GGA | relaxed

Cell lengths 4.519, 4.519, 3.316 Å; angles 90.00, 90.00, 90.00 degrees
Element x y z (fractional)
Be: 0.000 0.000 0.000
As: 0.000 0.500 0.500
As: 0.500 0.000 0.500
As: 0.500 0.500 0.000

Computed properties:
- density of states at the Fermi level (states/eV per cell) = 1.45
- energy relative to the lowest polymorph listed for this composition (meV/atom) = 398
- crystal system = tetragonal
- DFT total energy (eV per atom) = -3.8428
- M_tot (Bohr magnetons per cell) = 0.00